## K2NiAuF (PBEsol)

Data for an optimized crystal structure of K2NiAuF.

Geometry as extended XYZ:
```
5
Lattice="-2.014 1.656 2.682 -3.671 -4.000 -0.287 2.741 -2.786 3.779" Properties=species:S:1:pos:R:3 pbc="T T T"
K 1.371 -1.393 1.890
F 0.000 0.000 0.000
K -1.835 -2.000 -0.143
Ni -1.007 0.828 1.341
Au -1.472 -2.565 3.087
```

## Properties
Magnetization ... 0.002 μB per atom
Crystal system ... tetragonal
Total DFT energy (no corrections) ... -3.376 eV per atom

---

## KRb2AuF6 (PBEsol)

Data for an optimized crystal structure of KRb2AuF6.

Geometry as extended XYZ:
```
10
Lattice="6.452 0.000 0.000 3.226 5.588 0.000 3.226 1.863 5.268" Properties=species:S:1:pos:R:3 pbc="T T T"
F 8.188 4.728 1.217
F 4.717 4.728 1.217
F 8.188 2.723 4.052
Rb 9.679 5.588 3.951
F 6.452 1.721 1.217
Au 0.000 0.000 0.000
K 6.452 3.725 2.634
F 4.717 2.723 4.052
Rb 3.226 1.863 1.317
F 6.452 5.730 4.052
```

## Properties
Magnetization ... 0.200 μB per atom
Crystal system ... cubic
Total DFT energy (no corrections) ... -3.928 eV per atom

---

## La2Au2F (PBEsol)

Data for an optimized crystal structure of La2Au2F.

Geometry as extended XYZ:
```
5
Lattice="5.487 0.000 0.000 -2.743 5.369 0.030 0.000 2.777 4.732" Properties=species:S:1:pos:R:3 pbc="T T T"
La 2.743 4.767 3.564
Au 0.000 5.651 3.045
F 0.000 0.000 0.000
La 0.000 3.379 1.198
Au 2.743 2.495 1.716
```

## Properties
Magnetization ... 0.000 μB per atom
Crystal system ... tetragonal
Total DFT energy (no corrections) ... -4.895 eV per atom

---

## LaAu2F (PBEsol)

Data for an optimized crystal structure of LaAu2F.

Geometry as extended XYZ:
```
4
Lattice="-4.542 -0.345 1.789 -2.778 -3.874 -1.106 -1.031 -3.332 3.432" Properties=species:S:1:pos:R:3 pbc="T T T"
Au -2.087 -1.888 1.029
F 0.000 0.000 0.000
Au -6.262 -5.663 3.086
La -4.175 -3.776 2.058
```

## Properties
Magnetization ... 0.000 μB per atom
Crystal system ... cubic
Total DFT energy (no corrections) ... -4.757 eV per atom

---

## LiAuF4 (PBEsol)

Data for an optimized crystal structure of LiAuF4.

Geometry as extended XYZ:
```
12
Lattice="4.872 0.014 0.009 2.148 5.907 -0.057 2.148 2.511 5.347" Properties=species:S:1:pos:R:3 pbc="T T T"
Au 3.510 1.263 2.678
F 4.878 1.992 3.839
Li 3.366 4.751 1.792
Li 5.802 3.682 3.507
F 4.992 3.633 1.531
F 4.176 4.800 3.768
F 2.441 4.316 0.125
Au 1.074 2.954 -0.028
F 4.290 6.441 1.460
F 6.726 4.117 5.174
F 6.612 5.484 2.695
F 2.556 2.949 2.604
```

## Properties
Magnetization ... 0.000 μB per atom
Crystal system ... monoclinic
Total DFT energy (no corrections) ... -4.004 eV per atom

---

## LiAuF6 (PBEsol)

Data for an optimized crystal structure of LiAuF6.

Geometry as extended XYZ:
```
8
Lattice="-2.828 -3.851 -1.475 0.588 -4.490 2.121 -3.849 -1.704 3.354" Properties=species:S:1:pos:R:3 pbc="T T T"
F -1.256 -4.097 1.775
Li -3.044 -5.023 2.000
Au 0.000 0.000 0.000
F -4.833 -5.948 2.225
F -2.737 -5.085 4.002
F -3.352 -4.960 -0.002
F -2.152 -6.834 1.827
F -3.937 -3.212 2.173
```

## Properties
Magnetization ... 0.000 μB per atom
Crystal system ... trigonal
Total DFT energy (no corrections) ... -3.670 eV per atom

---

E_form (uncorrected), respectively: -0.5205 -2.0612 -0.8015 -0.9770 -1.7374 -1.4878 eV per atom.